A plane-wave DFT calculation with GGA-PBE was carried out for a geometry-optimized NaZnO2 structure.

POSCAR file:
```
NaZnO2
1.0
1.539 0.889 5.520
-1.539 0.889 5.520
0.000 -1.777 5.520
Na Zn O
1 1 2
Direct
0.000 0.000 0.000
0.829 0.829 0.829
0.231 0.231 0.231
0.429 0.429 0.429
```

Properties
- Symmetry: R3m
- Energy relative to the elements, uncorrected: -1.100 eV per atom
- Total magnetization: 1.0 μB/f.u.
- Density: 4.4 Mg/m³